Record 1
{"formula": "Pr5DyEr5", "functional": "PBE", "state": "optimized geometry", "e_tot_ev_per_cell": -48.44, "crystal_system": "monoclinic", "cell": [[9.494, -2.999, 0.000], [9.494, 2.999, 0.000], [-2.601, 0.000, 6.575]], "species": ["Pr", "Pr", "Pr", "Pr", "Pr", "Dy", "Er", "Er", "Er", "Er", "Er"], "fractional_positions": [[0.000, 0.000, 0.000], [0.324, 0.324, 0.068], [0.324, 0.324, 0.580], [0.676, 0.676, 0.420], [0.676, 0.676, 0.932], [0.500, 0.500, 0.000], [0.121, 0.121, 0.623], [0.169, 0.169, 0.170], [0.500, 0.500, 0.500], [0.831, 0.831, 0.830], [0.879, 0.879, 0.377]]}

Record 2
{"formula": "Pr2Dy4Er", "functional": "PBE", "state": "optimized geometry", "de_polymorph_ev_per_atom": 0.544, "crystal_system": "tetragonal", "cell": [[5.524, 0.000, 0.000], [0.000, 5.524, 0.000], [0.000, 0.000, 17.312]], "species": ["Pr", "Pr", "Pr", "Pr", "Dy", "Dy", "Dy", "Dy", "Dy", "Dy", "Dy", "Dy", "Er", "Er"], "fractional_positions": [[0.000, 0.000, 0.125], [0.000, 0.000, 0.875], [0.500, 0.500, 0.375], [0.500, 0.500, 0.625], [0.000, 0.000, 0.324], [0.000, 0.000, 0.676], [0.000, 0.500, 0.000], [0.000, 0.500, 0.500], [0.500, 0.000, 0.000], [0.500, 0.000, 0.500], [0.500, 0.500, 0.176], [0.500, 0.500, 0.824], [0.000, 0.000, 0.500], [0.500, 0.500, 0.000]]}

Record 3
{"formula": "Pr12DyEr7", "functional": "PBE", "state": "optimized geometry", "de_polymorph_ev_per_atom": 0.000, "crystal_system": "trigonal", "cell": [[6.109, 3.527, 5.398], [-6.109, 3.527, 5.398], [0.000, -7.054, 5.398]], "species": ["Pr", "Pr", "Pr", "Pr", "Pr", "Pr", "Pr", "Pr", "Pr", "Pr", "Pr", "Pr", "Dy", "Er", "Er", "Er", "Er", "Er", "Er", "Er"], "fractional_positions": [[0.101, 0.347, 0.419], [0.226, 0.756, 0.350], [0.244, 0.650, 0.774], [0.347, 0.419, 0.101], [0.350, 0.226, 0.756], [0.419, 0.101, 0.347], [0.581, 0.899, 0.653], [0.650, 0.774, 0.244], [0.653, 0.581, 0.899], [0.756, 0.350, 0.226], [0.774, 0.244, 0.650], [0.899, 0.653, 0.581], [0.000, 0.000, 0.000], [0.005, 0.359, 0.887], [0.113, 0.995, 0.641], [0.359, 0.887, 0.005], [0.500, 0.500, 0.500], [0.641, 0.113, 0.995], [0.887, 0.005, 0.359], [0.995, 0.641, 0.113]]}

Record 4
{"formula": "Pr5Dy6Er", "functional": "PBE", "state": "optimized geometry", "e_tot_ev_per_cell": -55.83, "crystal_system": "orthorhombic", "cell": [[-2.560, 5.079, 7.679], [2.560, -5.079, 7.679], [2.560, 5.079, -7.679]], "species": ["Pr", "Pr", "Pr", "Pr", "Pr", "Dy", "Dy", "Dy", "Dy", "Dy", "Dy", "Er"], "fractional_positions": [[0.000, 0.000, 0.000], [0.167, 0.667, 0.500], [0.335, 0.335, 0.000], [0.665, 0.665, 0.000], [0.833, 0.333, 0.500], [0.085, 0.834, 0.251], [0.252, 0.500, 0.752], [0.417, 0.166, 0.251], [0.583, 0.834, 0.749], [0.748, 0.500, 0.248], [0.915, 0.166, 0.749], [0.500, 0.000, 0.500]]}

Record 5
{"formula": "Pr5Dy4Er4", "functional": "PBE", "state": "optimized geometry", "e_tot_ev_per_cell": -60.26, "crystal_system": "tetragonal", "cell": [[-6.493, 6.493, 2.540], [6.493, -6.493, 2.540], [6.493, 6.493, -2.540]], "species": ["Pr", "Pr", "Pr", "Pr", "Pr", "Dy", "Dy", "Dy", "Dy", "Er", "Er", "Er", "Er"], "fractional_positions": [[0.000, 0.000, 0.000], [0.304, 0.538, 0.842], [0.462, 0.304, 0.765], [0.538, 0.696, 0.235], [0.696, 0.462, 0.158], [0.155, 0.767, 0.922], [0.233, 0.155, 0.388], [0.767, 0.845, 0.612], [0.845, 0.233, 0.078], [0.075, 0.387, 0.462], [0.387, 0.925, 0.312], [0.613, 0.075, 0.688], [0.925, 0.613, 0.538]]}

Record 6
{"formula": "PrDy6Er8", "functional": "PBE", "state": "optimized geometry", "e_tot_ev_per_cell": -66.85, "crystal_system": "trigonal", "cell": [[4.492, 2.593, 6.826], [-4.492, 2.593, 6.826], [0.000, -5.187, 6.826]], "species": ["Pr", "Dy", "Dy", "Dy", "Dy", "Dy", "Dy", "Er", "Er", "Er", "Er", "Er", "Er", "Er", "Er"], "fractional_positions": [[0.000, 0.000, 0.000], [0.109, 0.229, 0.538], [0.229, 0.538, 0.109], [0.462, 0.891, 0.771], [0.538, 0.109, 0.229], [0.771, 0.462, 0.891], [0.891, 0.771, 0.462], [0.111, 0.743, 0.720], [0.257, 0.280, 0.889], [0.280, 0.889, 0.257], [0.424, 0.424, 0.424], [0.576, 0.576, 0.576], [0.720, 0.111, 0.743], [0.743, 0.720, 0.111], [0.889, 0.257, 0.280]]}

Record 7
{"formula": "PrDy9Er2", "functional": "PBE", "state": "optimized geometry", "de_polymorph_ev_per_atom": 0.000, "crystal_system": "tetragonal", "cell": [[5.020, 0.000, 0.000], [0.000, 5.020, 0.000], [0.000, 0.000, 15.066]], "species": ["Pr", "Dy", "Dy", "Dy", "Dy", "Dy", "Dy", "Dy", "Dy", "Dy", "Er", "Er"], "fractional_positions": [[0.000, 0.000, 0.000], [0.000, 0.500, 0.170], [0.000, 0.500, 0.500], [0.000, 0.500, 0.830], [0.500, 0.000, 0.170], [0.500, 0.000, 0.500], [0.500, 0.000, 0.830], [0.500, 0.500, 0.000], [0.500, 0.500, 0.336], [0.500, 0.500, 0.664], [0.000, 0.000, 0.335], [0.000, 0.000, 0.665]]}

Record 8
{"formula": "Pr2Dy12Er5", "functional": "PBE", "state": "optimized geometry", "de_polymorph_ev_per_atom": 0.000, "crystal_system": "triclinic", "cell": [[6.597, 0.000, 0.000], [1.866, 8.634, 0.000], [2.051, 0.670, 10.696]], "species": ["Pr", "Pr", "Dy", "Dy", "Dy", "Dy", "Dy", "Dy", "Dy", "Dy", "Dy", "Dy", "Dy", "Dy", "Er", "Er", "Er", "Er", "Er"], "fractional_positions": [[0.159, 0.173, 0.005], [0.841, 0.827, 0.995], [0.091, 0.254, 0.298], [0.124, 0.191, 0.702], [0.233, 0.555, 0.453], [0.323, 0.485, 0.771], [0.371, 0.876, 0.220], [0.386, 0.821, 0.870], [0.614, 0.179, 0.130], [0.629, 0.124, 0.780], [0.677, 0.515, 0.229], [0.767, 0.445, 0.547], [0.876, 0.809, 0.298], [0.909, 0.746, 0.702], [0.000, 0.000, 0.500], [0.242, 0.539, 0.098], [0.480, 0.815, 0.549], [0.520, 0.185, 0.451], [0.758, 0.461, 0.902]]}

Record 9
{"formula": "Pr16Dy7Er6", "functional": "PBE", "state": "optimized geometry", "e_tot_ev_per_cell": -130.10, "crystal_system": "cubic", "cell": [[0.000, 8.035, 8.035], [8.035, 0.000, 8.035], [8.035, 8.035, 0.000]], "species": ["Pr", "Pr", "Pr", "Pr", "Pr", "Pr", "Pr", "Pr", "Pr", "Pr", "Pr", "Pr", "Pr", "Pr", "Pr", "Pr", "Dy", "Dy", "Dy", "Dy", "Dy", "Dy", "Dy", "Er", "Er", "Er", "Er", "Er", "Er"], "fractional_positions": [[0.054, 0.649, 0.649], [0.125, 0.125, 0.125], [0.125, 0.125, 0.625], [0.125, 0.625, 0.125], [0.351, 0.351, 0.351], [0.351, 0.351, 0.946], [0.351, 0.946, 0.351], [0.375, 0.875, 0.875], [0.625, 0.125, 0.125], [0.649, 0.054, 0.649], [0.649, 0.649, 0.054], [0.649, 0.649, 0.649], [0.875, 0.375, 0.875], [0.875, 0.875, 0.375], [0.875, 0.875, 0.875], [0.946, 0.351, 0.351], [0.000, 0.000, 0.000], [0.000, 0.000, 0.500], [0.000, 0.500, 0.000], [0.000, 0.500, 0.500], [0.500, 0.000, 0.000], [0.500, 0.000, 0.500], [0.500, 0.500, 0.000], [0.263, 0.263, 0.737], [0.263, 0.737, 0.263], [0.263, 0.737, 0.737], [0.737, 0.263, 0.263], [0.737, 0.263, 0.737], [0.737, 0.737, 0.263]]}

Record 10
{"formula": "Pr2Dy2Er3", "functional": "PBE", "state": "optimized geometry", "de_polymorph_ev_per_atom": 0.000, "crystal_system": "monoclinic", "cell": [[11.273, 0.000, 0.000], [0.000, 5.058, 0.000], [-1.146, 0.000, 7.934]], "species": ["Pr", "Pr", "Pr", "Pr", "Dy", "Dy", "Dy", "Dy", "Er", "Er", "Er", "Er", "Er", "Er"], "fractional_positions": [[0.072, 0.000, 0.216], [0.428, 0.500, 0.784], [0.572, 0.500, 0.216], [0.928, 0.000, 0.784], [0.214, 0.000, 0.644], [0.286, 0.500, 0.356], [0.714, 0.500, 0.644], [0.786, 0.000, 0.356], [0.000, 0.500, 0.500], [0.144, 0.500, 0.928], [0.356, 0.000, 0.072], [0.500, 0.000, 0.500], [0.644, 0.000, 0.928], [0.856, 0.500, 0.072]]}

Record 11
{"formula": "Pr4Dy5Er2", "functional": "PBE", "state": "optimized geometry", "de_polymorph_ev_per_atom": 0.000, "crystal_system": "monoclinic", "cell": [[9.611, -2.840, 0.000], [9.611, 2.840, 0.000], [-0.094, 0.000, 6.677]], "species": ["Pr", "Pr", "Pr", "Pr", "Dy", "Dy", "Dy", "Dy", "Dy", "Er", "Er"], "fractional_positions": [[0.020, 0.020, 0.288], [0.307, 0.307, 0.930], [0.693, 0.693, 0.070], [0.980, 0.980, 0.712], [0.130, 0.130, 0.889], [0.209, 0.209, 0.402], [0.500, 0.500, 0.000], [0.791, 0.791, 0.598], [0.870, 0.870, 0.111], [0.402, 0.402, 0.446], [0.598, 0.598, 0.554]]}

Record 12
{"formula": "Pr2Dy6Er", "functional": "PBE", "state": "optimized geometry", "de_polymorph_ev_per_atom": 0.006, "crystal_system": "monoclinic", "cell": [[6.419, -7.172, 0.000], [6.419, 7.172, 0.000], [-1.626, 0.000, 6.398]], "species": ["Pr", "Pr", "Pr", "Pr", "Dy", "Dy", "Dy", "Dy", "Dy", "Dy", "Dy", "Dy", "Dy", "Dy", "Dy", "Dy", "Er", "Er"], "fractional_positions": [[0.119, 0.170, 0.375], [0.170, 0.119, 0.875], [0.830, 0.881, 0.125], [0.881, 0.830, 0.625], [0.039, 0.442, 0.729], [0.153, 0.776, 0.996], [0.224, 0.847, 0.504], [0.278, 0.461, 0.185], [0.442, 0.039, 0.229], [0.461, 0.278, 0.685], [0.539, 0.722, 0.315], [0.558, 0.961, 0.771], [0.722, 0.539, 0.815], [0.776, 0.153, 0.496], [0.847, 0.224, 0.004], [0.961, 0.558, 0.271], [0.383, 0.617, 0.750], [0.617, 0.383, 0.250]]}

Record 13
{"formula": "Pr2Dy3Er7", "functional": "PBE", "state": "optimized geometry", "de_polymorph_ev_per_atom": 0.000, "crystal_system": "monoclinic", "cell": [[6.313, 0.000, 0.000], [0.000, 3.507, 0.000], [-1.875, 0.000, 17.301]], "species": ["Pr", "Pr", "Dy", "Dy", "Dy", "Er", "Er", "Er", "Er", "Er", "Er", "Er"], "fractional_positions": [[0.059, 0.000, 0.174], [0.941, 0.000, 0.826], [0.452, 0.500, 0.842], [0.500, 0.000, 0.500], [0.548, 0.500, 0.158], [0.000, 0.500, 0.500], [0.228, 0.000, 0.665], [0.256, 0.000, 0.999], [0.275, 0.500, 0.338], [0.725, 0.500, 0.662], [0.744, 0.000, 0.001], [0.772, 0.000, 0.335]]}

Record 14
{"formula": "PrDy3Er6", "functional": "PBE", "state": "optimized geometry", "e_tot_ev_per_cell": -88.93, "crystal_system": "orthorhombic", "cell": [[5.477, -9.430, 0.000], [5.477, 9.430, 0.000], [0.000, 0.000, 6.168]], "species": ["Pr", "Pr", "Dy", "Dy", "Dy", "Dy", "Dy", "Dy", "Er", "Er", "Er", "Er", "Er", "Er", "Er", "Er", "Er", "Er", "Er", "Er"], "fractional_positions": [[0.209, 0.791, 0.500], [0.791, 0.209, 0.000], [0.068, 0.283, 0.706], [0.283, 0.068, 0.206], [0.391, 0.609, 0.590], [0.609, 0.391, 0.090], [0.717, 0.932, 0.706], [0.932, 0.717, 0.206], [0.033, 0.455, 0.300], [0.048, 0.952, 0.748], [0.287, 0.381, 0.138], [0.290, 0.710, 0.025], [0.381, 0.287, 0.638], [0.455, 0.033, 0.800], [0.545, 0.967, 0.300], [0.619, 0.713, 0.138], [0.710, 0.290, 0.525], [0.713, 0.619, 0.638], [0.952, 0.048, 0.248], [0.967, 0.545, 0.800]]}

Record 15
{"formula": "Pr4Dy3Er2", "functional": "PBE", "state": "optimized geometry", "de_polymorph_ev_per_atom": 0.031, "crystal_system": "monoclinic", "cell": [[6.459, -1.830, 0.000], [6.459, 1.830, 0.000], [-6.360, 0.000, 12.999]], "species": ["Pr", "Pr", "Pr", "Pr", "Dy", "Dy", "Dy", "Er", "Er"], "fractional_positions": [[0.217, 0.217, 0.109], [0.277, 0.277, 0.628], [0.723, 0.723, 0.372], [0.783, 0.783, 0.891], [0.492, 0.492, 0.112], [0.500, 0.500, 0.500], [0.508, 0.508, 0.888], [0.047, 0.047, 0.709], [0.953, 0.953, 0.291]]}

Record 16
{"formula": "Pr4Dy2Er5", "functional": "PBE", "state": "optimized geometry", "de_polymorph_ev_per_atom": 0.190, "crystal_system": "orthorhombic", "cell": [[-1.756, 4.627, 11.490], [1.756, -4.627, 11.490], [1.756, 4.627, -11.490]], "species": ["Pr", "Pr", "Pr", "Pr", "Dy", "Dy", "Er", "Er", "Er", "Er", "Er"], "fractional_positions": [[0.096, 0.096, 0.000], [0.208, 0.500, 0.708], [0.792, 0.500, 0.292], [0.904, 0.904, 0.000], [0.230, 0.230, 0.000], [0.770, 0.770, 0.000], [0.154, 0.352, 0.802], [0.450, 0.648, 0.802], [0.500, 0.000, 0.500], [0.550, 0.352, 0.198], [0.846, 0.648, 0.198]]}

Record 17
{"formula": "PrDyEr", "functional": "PBE", "state": "optimized geometry", "de_polymorph_ev_per_atom": 0.046, "crystal_system": "hexagonal", "cell": [[5.654, 0.000, 0.000], [-2.827, 4.897, 0.000], [0.000, 0.000, 7.075]], "species": ["Pr", "Pr", "Dy", "Dy", "Er", "Er"], "fractional_positions": [[0.333, 0.667, 0.250], [0.667, 0.333, 0.750], [0.333, 0.667, 0.750], [0.667, 0.333, 0.250], [0.000, 0.000, 0.000], [0.000, 0.000, 0.500]]}

Record 18
{"formula": "Pr8Dy2Er", "functional": "PBE", "state": "optimized geometry", "de_polymorph_ev_per_atom": 0.031, "crystal_system": "monoclinic", "cell": [[7.266, -3.431, 0.000], [7.266, 3.431, 0.000], [-3.783, 0.000, 7.874]], "species": ["Pr", "Pr", "Pr", "Pr", "Pr", "Pr", "Pr", "Pr", "Dy", "Dy", "Er"], "fractional_positions": [[0.108, 0.108, 0.994], [0.146, 0.662, 0.614], [0.240, 0.240, 0.781], [0.338, 0.854, 0.386], [0.662, 0.146, 0.614], [0.760, 0.760, 0.219], [0.854, 0.338, 0.386], [0.892, 0.892, 0.006], [0.359, 0.359, 0.242], [0.641, 0.641, 0.758], [0.500, 0.500, 0.000]]}

Record 19
{"formula": "PrDy4Er5", "functional": "PBE", "state": "optimized geometry", "de_polymorph_ev_per_atom": 0.000, "crystal_system": "triclinic", "cell": [[3.544, 0.000, 0.000], [-1.594, 6.457, 0.000], [-0.790, -2.357, 13.864]], "species": ["Pr", "Dy", "Dy", "Dy", "Dy", "Er", "Er", "Er", "Er", "Er"], "fractional_positions": [[0.000, 0.000, 0.000], [0.115, 0.809, 0.219], [0.194, 0.727, 0.803], [0.806, 0.273, 0.197], [0.885, 0.191, 0.781], [0.205, 0.881, 0.583], [0.491, 0.427, 0.613], [0.500, 0.500, 0.000], [0.509, 0.573, 0.387], [0.795, 0.119, 0.417]]}